The following is a SCAN calculation of Ag2BiO3 at its PBEsol-relaxed geometry, from Alexandria.

Crystal system: orthorhombic
Volume, Å³ per atom: 15.047
Energy, eV/cell: -653.7

a b c (Å): 6.0482 6.2404 9.5679
angles (deg): 90.00 90.00 90.00
With the nearest neighbours (Å) after each atom.
Space group Pnn2 (No. 34)
Symmetry-distinct sites (fractional):
Ag1 0.0284 0.2438 0.0000 (multiplicity 4)  3 O 2.18-2.27
Ag2 0.2467 0.4996 0.7421 (multiplicity 4)  2 O 2.09
Bi1 0.0000 0.0000 0.6425 (multiplicity 2)  6 O 2.13-2.22
Bi2 0.0000 0.5000 0.3520 (multiplicity 2)  6 O 2.29-2.34
O1 0.1140 0.7809 0.4877 (multiplicity 4)  2 Bi 2.13-2.29, 1 Ag 2.18
O2 0.1760 0.8129 0.8049 (multiplicity 4)  2 Ag 2.09-2.27, 2 Bi 2.22-2.33
O3 0.1947 0.6835 0.1784 (multiplicity 4)  2 Ag 2.09-2.22, 2 Bi 2.20-2.34